Record 1
VASP calculation (PBE) on an optimized crystal structure of K2AsPbS4.

Calculated values
DFT total energy = -62.7 eV for the cell shown
Magnetization = 0.00 μB per atom
Theoretical density = 4.0 g cm⁻³
Symmetry = No. 74
Raw formation energy = -0.53 eV/atom

Lattice parameters (Å, degrees): 8.334 8.334 8.334 121.63 118.33 90.06
Sites, in units of the cell vectors:
K 0.000 0.000 0.000
K 0.500 0.000 0.000
K 0.500 0.000 0.500
K 0.500 0.500 0.500
As 0.000 0.000 0.500
As 0.000 0.500 0.000
Pb 0.000 0.500 0.500
Pb 0.500 0.500 0.000
S 0.199 0.743 0.457
S 0.214 0.257 0.957
S 0.226 0.243 0.517
S 0.226 0.709 0.983
S 0.774 0.291 0.017
S 0.774 0.757 0.483
S 0.786 0.743 0.043
S 0.801 0.257 0.543

Record 2
VASP calculation (PBE) on an optimized crystal structure of KSb2AsPb.

Calculated values
DFT total energy = -16.6 eV for the cell shown
Magnetization = 0.00 μB per atom
Theoretical density = 5.3 g cm⁻³
Symmetry = No. 123
Raw formation energy = 0.22 eV/atom

Lattice parameters (Å, degrees): 5.647 5.647 5.582 90.00 90.00 90.00
Sites, in units of the cell vectors:
K 0.000 0.000 0.000
Sb 0.000 0.500 0.500
Sb 0.500 0.000 0.500
As 0.500 0.500 0.500
Pb 0.500 0.500 0.000

Record 3
VASP calculation (PBE) on an optimized crystal structure of KSbAs2Pb.

Calculated values
DFT total energy = -11.7 eV for the cell shown
Magnetization = 0.00 μB per atom
Theoretical density = 5.0 g cm⁻³
Symmetry = No. 123
Raw formation energy = 1.30 eV/atom

Lattice parameters (Å, degrees): 5.489 5.489 5.738 90.00 90.00 90.00
Sites, in units of the cell vectors:
K 0.000 0.000 0.000
Sb 0.500 0.500 0.500
As 0.000 0.500 0.000
As 0.500 0.000 0.000
Pb 0.000 0.000 0.500

Record 4
VASP calculation (PBE) on an optimized crystal structure of KAsPbSe2.

Calculated values
DFT total energy = -12.4 eV for the cell shown
Magnetization = 0.00 μB per atom
Theoretical density = 4.8 g cm⁻³
Symmetry = No. 123
Raw formation energy = 0.81 eV/atom

Lattice parameters (Å, degrees): 5.610 5.610 5.320 90.00 90.00 90.00
Sites, in units of the cell vectors:
K 0.000 0.000 0.000
As 0.000 0.000 0.500
Pb 0.500 0.500 0.500
Se 0.000 0.500 0.000
Se 0.500 0.000 0.000

Record 5
VASP calculation (PBE) on an optimized crystal structure of KAsPbSe3.

Calculated values
DFT total energy = -46.1 eV for the cell shown
Magnetization = 0.00 μB per atom
Theoretical density = 4.2 g cm⁻³
Symmetry = No. 11
Raw formation energy = -0.52 eV/atom

Lattice parameters (Å, degrees): 9.380 4.612 10.303 90.00 101.27 90.00
Sites, in units of the cell vectors:
K 0.180 0.250 0.200
K 0.820 0.750 0.800
As 0.100 0.250 0.622
As 0.900 0.750 0.378
Pb 0.370 0.750 0.867
Pb 0.630 0.250 0.133
Se 0.099 0.250 0.853
Se 0.155 0.750 0.470
Se 0.424 0.750 0.145
Se 0.576 0.250 0.855
Se 0.845 0.250 0.530
Se 0.901 0.750 0.147

Record 6
VASP calculation (PBE) on an optimized crystal structure of KAsPbSe2.

Calculated values
DFT total energy = -16.1 eV for the cell shown
Magnetization = 0.30 μB per atom
Theoretical density = 4.5 g cm⁻³
Symmetry = No. 123
Raw formation energy = 0.07 eV/atom

Lattice parameters (Å, degrees): 5.656 5.656 5.491 90.00 90.00 90.00
Sites, in units of the cell vectors:
K 0.000 0.000 0.000
As 0.500 0.500 0.000
Pb 0.500 0.500 0.500
Se 0.000 0.500 0.500
Se 0.500 0.000 0.500

Record 7
VASP calculation (PBE) on an optimized crystal structure of KTa2AsPb.

Calculated values
DFT total energy = -19.5 eV for the cell shown
Magnetization = 0.00 μB per atom
Theoretical density = 8.9 g cm⁻³
Symmetry = No. 123
Energy relative to the elements = 2736 meV/atom

Lattice parameters (Å, degrees): 4.805 4.805 5.550 90.00 90.00 90.00
Sites, in units of the cell vectors:
K 0.000 0.000 0.000
Ta 0.000 0.500 0.000
Ta 0.500 0.000 0.000
As 0.500 0.500 0.500
Pb 0.000 0.000 0.500

Record 8
VASP calculation (PBE) on an optimized crystal structure of KTeAsPb2.

Calculated values
DFT total energy = -14.3 eV for the cell shown
Magnetization = 0.00 μB per atom
Theoretical density = 4.9 g cm⁻³
Symmetry = No. 123
Raw formation energy = 0.39 eV/atom

Lattice parameters (Å, degrees): 6.037 6.037 6.095 90.00 90.00 90.00
Sites, in units of the cell vectors:
K 0.000 0.000 0.000
Te 0.000 0.000 0.500
As 0.500 0.500 0.000
Pb 0.000 0.500 0.500
Pb 0.500 0.000 0.500

Question: Look up the DFT total energy of the fifth one.
Answer: -46.1 eV for the cell shown